The following is a SCAN calculation of a crystal of Sr2NiCl relaxed with PBEsol, from Alexandria.

It has space group Fm-3m (No. 225), with a = 7.3553 Å, b = 7.3553 Å, c = 7.3553 Å, α = 90.00°, β = 90.00° and γ = 90.00°. The asymmetric unit holds Sr at (0.2500, 0.2500, 0.2500), Ni at (0.0000, 0.0000, 0.0000) and Cl at (0.0000, 0.0000, 0.5000).

As for the energy relative to the lowest polymorph listed for this composition: 254 meV per atom. The energy comes out at -17.75 eV/atom. Its energy relative to the elements, uncorrected is -0.58 eV/atom. Its spin magnetization is 0.00 μB/cell.

=====

The following is a SCAN calculation of a crystal of SrNiCl4 relaxed with PBEsol, from Alexandria.

It has space group F-43m (No. 216), with a = 8.2260 Å, b = 8.2260 Å, c = 8.2260 Å, α = 90.00°, β = 90.00° and γ = 90.00°. The asymmetric unit holds Sr at (0.0000, 0.0000, 0.0000), Ni at (0.2500, 0.2500, 0.2500) and Cl at (0.1245, 0.1245, 0.6245).

The energy comes out at -11.95 eV/atom. Its energy relative to the elements, uncorrected is -0.22 eV/atom. Its spin magnetization is 16.04 μB/cell.

=====

> What is the energy in the second record?

-11.95 eV/atom